No. 1
The following is a DFT calculation (GGA-PBE) of a relaxed CePrTlPb crystal.

Fermi-level density of states   34.9 states/eV per cell
Total moment   1.3 μB per formula unit

Unit cell a=7.8718 b=7.8718 c=7.8718 alpha=90.00 beta=90.00 gamma=90.00
Closest atoms and distances in Å follow each position.
Space group F-43m (No. 216)
Asymmetric unit:
Ce 0.0000 0.0000 0.0000 (multiplicity 4)  4 Pb 3.41, 4 Tl 3.41
Pr 0.0000 0.0000 0.5000 (multiplicity 4)  4 Tl 3.41, 4 Pb 3.41
Tl 0.2500 0.2500 0.2500 (multiplicity 4)  4 Ce 3.41, 4 Pr 3.41
Pb 0.2500 0.2500 0.7500 (multiplicity 4)  4 Ce 3.41, 4 Pr 3.41


No. 2
The following is a DFT calculation (GGA-PBE) of a relaxed KBa2GaPd crystal.

Fermi-level density of states   4.4 states/eV per cell
Total moment   0.8 μB per formula unit

Unit cell a=6.3413 b=6.3413 c=5.0554 alpha=90.00 beta=90.00 gamma=90.00
Closest atoms and distances in Å follow each position.
Space group P4/mmm (No. 123)
Asymmetric unit:
K 0.0000 0.0000 0.0000 (multiplicity 1)  8 Ba 4.05, 4 Ga 4.48
Ba 0.0000 0.5000 0.5000 (multiplicity 2)  2 Pd 3.17
Ga 0.5000 0.5000 0.0000 (multiplicity 1)  2 Pd 2.53
Pd 0.5000 0.5000 0.5000 (multiplicity 1)  2 Ga 2.53


Sequential ΔH_f (0 K) output: -356.1 -228.2 meV per atom